Record 1
The following is a DFT calculation (PBE) of YbAlB4 after structural relaxation. Values from VASP.

Cell and atoms, written as Quantum ESPRESSO input:
```
&SYSTEM
  ibrav = 0, nat = 12, ntyp = 3
/
ATOMIC_SPECIES
Yb 173.04 Yb.upf
Al 26.98 Al.upf
B 10.81 B.upf
CELL_PARAMETERS angstrom
3.6787 -4.6969 0.0000
3.6787 4.6969 0.0000
0.0000 0.0000 3.4926
ATOMIC_POSITIONS angstrom
Yb 3.6787 2.8222 0.0000
Yb 3.6787 -2.8222 0.0000
Al 2.3296 0.0000 0.0000
Al 5.0277 0.0000 0.0000
B 2.0419 1.4992 1.7463
B 0.8838 0.0000 1.7463
B 3.6787 0.8656 1.7463
B 2.0419 -1.4992 1.7463
B 5.3155 1.4992 1.7463
B 3.6787 -0.8656 1.7463
B 6.4736 0.0000 1.7463
B 5.3155 -1.4992 1.7463
```

total magnetization	0.00	μB per atom
uncorrected energy	-5.743	eV/atom
ΔH_f (0 K)	-0.41	eV per atom
space group	No. 65
energy above the most stable polymorph in this dataset	0.06	kJ per mole of atoms

=====

Record 2
The following is a DFT calculation (PBE) of La4Y3PuTe8 after structural relaxation. Values from VASP.

Cell and atoms, written as Quantum ESPRESSO input:
```
&SYSTEM
  ibrav = 0, nat = 16, ntyp = 4
/
ATOMIC_SPECIES
La 138.91 La.upf
Y 88.91 Y.upf
Pu 244.00 Pu.upf
Te 127.60 Te.upf
CELL_PARAMETERS angstrom
4.4692 2.5803 7.3572
-4.4692 2.5803 7.3572
0.0000 -5.1606 7.3572
ATOMIC_POSITIONS angstrom
La 0.0000 0.0000 0.0000
La -2.2346 -1.2902 7.3572
La -2.2346 1.2902 14.7145
La 0.0000 2.5803 7.3572
Y -4.4692 0.0000 11.0359
Y -2.2346 1.2902 3.6786
Y 2.2346 1.2902 3.6786
Pu 0.0000 0.0000 11.0359
Te -2.2486 -1.2982 12.7697
Te 0.0000 0.0000 5.4012
Te 0.0000 -2.5965 9.3021
Te -2.2486 1.2982 9.3021
Te 2.2486 -1.2982 12.7696
Te 0.0000 2.5965 12.7696
Te 0.0000 0.0000 16.6705
Te 2.2486 1.2982 9.3021
```

total magnetization	0.38	μB per atom
uncorrected energy	-6.345	eV/atom
space group	No. 166

=====

Record 3
The following is a DFT calculation (PBE) of ZnMoN3 after structural relaxation. Values from VASP.

Cell and atoms, written as Quantum ESPRESSO input:
```
&SYSTEM
  ibrav = 0, nat = 5, ntyp = 3
/
ATOMIC_SPECIES
Zn 65.41 Zn.upf
Mo 95.94 Mo.upf
N 14.01 N.upf
CELL_PARAMETERS angstrom
3.9413 0.0000 0.0000
0.0000 3.9413 0.0000
0.0000 0.0000 3.9413
ATOMIC_POSITIONS angstrom
Zn 0.0000 0.0000 0.0000
Mo 1.9707 1.9707 1.9707
N 0.0000 1.9707 1.9707
N 1.9707 0.0000 1.9707
N 1.9707 1.9707 0.0000
```

total magnetization	0.00	μB per atom
uncorrected energy	-6.619	eV/atom
space group	No. 221

=====

Record 4
The following is a DFT calculation (PBE) of BC2 after structural relaxation. Values from VASP.

Cell and atoms, written as Quantum ESPRESSO input:
```
&SYSTEM
  ibrav = 0, nat = 12, ntyp = 2
/
ATOMIC_SPECIES
B 10.81 B.upf
C 12.01 C.upf
CELL_PARAMETERS angstrom
3.7312 0.0000 0.0000
0.0000 2.5931 0.0000
-0.0310 0.0000 8.0882
ATOMIC_POSITIONS angstrom
B 0.4449 0.0000 2.0789
B 1.1517 1.2965 7.0993
B 2.5484 1.2965 0.9889
B 3.2553 0.0000 6.0094
C 0.4023 0.0000 7.4835
C 0.4617 0.0000 4.6429
C 1.3572 1.2965 4.6844
C 1.4943 1.2965 2.1320
C 2.2059 1.2965 5.9562
C 2.3429 1.2965 3.4038
C 3.2385 0.0000 3.4453
C 3.2978 0.0000 0.6047
```

total magnetization	0.00	μB per atom
uncorrected energy	-8.085	eV/atom
ΔH_f (0 K)	0.29	eV per atom
space group	No. 10
energy above the most stable polymorph in this dataset	4.86	kJ per mole of atoms

=====

Record 5
The following is a DFT calculation (PBE) of TbTi3O6 after structural relaxation. Values from VASP.

Cell and atoms, written as Quantum ESPRESSO input:
```
&SYSTEM
  ibrav = 0, nat = 20, ntyp = 3
/
ATOMIC_SPECIES
Tb 158.93 Tb.upf
Ti 47.87 Ti.upf
O 16.00 O.upf
CELL_PARAMETERS angstrom
8.5132 0.0000 0.0000
0.0000 3.0557 0.0000
-2.9952 0.0000 8.1863
ATOMIC_POSITIONS angstrom
Tb -0.0439 0.7639 1.6711
Tb 5.5618 2.2918 6.5152
Ti -0.3063 0.7639 4.8983
Ti -0.2266 2.2918 8.1177
Ti 2.8915 0.7639 2.8206
Ti 2.6265 2.2918 5.3658
Ti 5.7446 0.7639 0.0686
Ti 5.8242 2.2918 3.2880
O -0.6069 2.2918 3.4280
O -1.7792 0.7639 7.8922
O -0.5967 2.2918 6.1346
O 1.7733 2.2918 1.9075
O 1.5782 0.7639 4.3917
O 3.7388 0.7639 0.9250
O 1.7792 2.2918 7.2613
O 3.9398 2.2918 3.7946
O 3.7446 0.7639 6.2788
O 6.1146 0.7639 2.0517
O 7.2971 2.2918 0.2942
O 6.1248 0.7639 4.7583
```

total magnetization	0.05	μB per atom
uncorrected energy	-8.796	eV/atom
space group	No. 11

=====

Record 6
The following is a DFT calculation (PBE) of MgTlSnH2 after structural relaxation. Values from VASP.

Cell and atoms, written as Quantum ESPRESSO input:
```
&SYSTEM
  ibrav = 0, nat = 5, ntyp = 4
/
ATOMIC_SPECIES
Mg 24.30 Mg.upf
Tl 204.38 Tl.upf
Sn 118.71 Sn.upf
H 1.01 H.upf
CELL_PARAMETERS angstrom
4.1331 0.0000 0.0000
0.0000 4.1331 0.0000
0.0000 0.0000 5.9096
ATOMIC_POSITIONS angstrom
Mg 0.0000 0.0000 0.0000
Tl 2.0666 2.0666 0.0000
Sn 0.0000 0.0000 2.9548
H 0.0000 2.0666 2.9548
H 2.0666 0.0000 2.9548
```

total magnetization	0.00	μB per atom
uncorrected energy	-2.614	eV/atom
space group	No. 123

=====

Record 7
The following is a DFT calculation (PBE) of NdZr2Re after structural relaxation. Values from VASP.

Cell and atoms, written as Quantum ESPRESSO input:
```
&SYSTEM
  ibrav = 0, nat = 4, ntyp = 3
/
ATOMIC_SPECIES
Nd 144.24 Nd.upf
Zr 91.22 Zr.upf
Re 186.21 Re.upf
CELL_PARAMETERS angstrom
3.3517 0.0000 0.0000
0.0000 3.3517 0.0000
0.0000 0.0000 8.3359
ATOMIC_POSITIONS angstrom
Nd 0.0000 0.0000 0.0000
Zr 1.6759 1.6759 2.6052
Zr 1.6759 1.6759 5.7307
Re 0.0000 0.0000 4.1679
```

total magnetization	0.00	μB per atom
uncorrected energy	-8.605	eV/atom
ΔH_f (0 K)	-0.03	eV per atom
space group	No. 123

=====

Record 8
The following is a DFT calculation (PBE) of Tb2YBr after structural relaxation. Values from VASP.

Cell and atoms, written as Quantum ESPRESSO input:
```
&SYSTEM
  ibrav = 0, nat = 4, ntyp = 3
/
ATOMIC_SPECIES
Tb 158.93 Tb.upf
Y 88.91 Y.upf
Br 79.90 Br.upf
CELL_PARAMETERS angstrom
1.7486 1.0095 11.5049
-1.7486 1.0095 11.5049
0.0000 -2.0191 11.5049
ATOMIC_POSITIONS angstrom
Tb 0.0000 0.0000 3.3874
Tb 0.0000 0.0000 31.1273
Y 0.0000 0.0000 0.0000
Br 0.0000 0.0000 17.2573
```

total magnetization	0.30	μB per atom
uncorrected energy	-4.587	eV/atom
space group	No. 166

=====

Record 9
The following is a DFT calculation (PBE) of SrTeS2 after structural relaxation. Values from VASP.

Cell and atoms, written as Quantum ESPRESSO input:
```
&SYSTEM
  ibrav = 0, nat = 8, ntyp = 3
/
ATOMIC_SPECIES
Sr 87.62 Sr.upf
Te 127.60 Te.upf
S 32.06 S.upf
CELL_PARAMETERS angstrom
4.1070 0.0000 0.0000
0.0001 7.5358 0.0000
0.0293 0.0072 7.8939
ATOMIC_POSITIONS angstrom
Sr 0.0156 1.8870 2.7436
Sr 4.1208 5.6561 5.1503
Te 2.0782 1.8878 6.1354
Te 2.0583 5.6553 1.7585
S 2.0684 5.6588 7.2779
S 2.0682 0.0036 3.9469
S 2.0682 3.7715 3.9469
S 2.0680 1.8842 0.6160
```

total magnetization	0.00	μB per atom
uncorrected energy	-4.131	eV/atom
space group	No. 2

=====

Record 10
The following is a DFT calculation (PBE) of CaY2Er after structural relaxation. Values from VASP.

Cell and atoms, written as Quantum ESPRESSO input:
```
&SYSTEM
  ibrav = 0, nat = 4, ntyp = 3
/
ATOMIC_SPECIES
Ca 40.08 Ca.upf
Y 88.91 Y.upf
Er 167.26 Er.upf
CELL_PARAMETERS angstrom
0.0000 4.0661 4.0661
4.0661 0.0000 4.0661
4.0661 4.0661 0.0000
ATOMIC_POSITIONS angstrom
Ca 0.0000 0.0000 0.0000
Y 2.0331 2.0331 2.0331
Y 6.0992 6.0992 6.0992
Er 4.0661 4.0661 4.0661
```

total magnetization	0.00	μB per atom
uncorrected energy	-4.709	eV/atom
ΔH_f (0 K)	0.16	eV per atom
space group	No. 225
energy above the most stable polymorph in this dataset	9.91	kJ per mole of atoms

=====

Record 11
The following is a DFT calculation (PBE) of Ba3Li4In4 after structural relaxation. Values from VASP.

Cell and atoms, written as Quantum ESPRESSO input:
```
&SYSTEM
  ibrav = 0, nat = 11, ntyp = 3
/
ATOMIC_SPECIES
Ba 137.33 Ba.upf
Li 6.94 Li.upf
In 114.82 In.upf
CELL_PARAMETERS angstrom
-4.4246 4.4246 4.4246
4.4246 -4.4246 4.4246
4.4246 4.4246 -4.4246
ATOMIC_POSITIONS angstrom
Ba 4.4246 0.0000 0.0000
Ba 0.0000 4.4246 0.0000
Ba 0.0000 0.0000 4.4246
Li 2.7121 2.7121 -2.7121
Li 2.7121 -2.7121 2.7121
Li 1.7126 1.7126 1.7126
Li -2.7121 2.7121 2.7121
In 1.1235 1.1235 -1.1235
In 1.1235 -1.1235 1.1235
In -1.1235 1.1235 1.1235
In 3.3011 3.3011 3.3011
```

total magnetization	0.00	μB per atom
uncorrected energy	-2.491	eV/atom
ΔH_f (0 K)	-0.28	eV per atom
space group	No. 217

=====

Record 12
The following is a DFT calculation (PBE) of Rb3HfSe3 after structural relaxation. Values from VASP.

Cell and atoms, written as Quantum ESPRESSO input:
```
&SYSTEM
  ibrav = 0, nat = 14, ntyp = 3
/
ATOMIC_SPECIES
Rb 85.47 Rb.upf
Hf 178.49 Hf.upf
Se 78.96 Se.upf
CELL_PARAMETERS angstrom
4.6948 -7.0431 0.0000
4.6948 7.0431 0.0000
-1.8434 0.0000 8.1195
ATOMIC_POSITIONS angstrom
Rb 4.6948 4.6319 0.0000
Rb 3.7731 3.3287 4.0597
Rb 3.3849 0.0000 1.2416
Rb 4.1613 0.0000 6.8779
Rb 3.7731 -3.3287 4.0597
Rb 4.6948 -4.6319 0.0000
Hf 0.3683 0.0000 5.2141
Hf 7.1779 0.0000 2.9054
Se 0.3705 0.0000 2.5898
Se 1.3295 2.0669 6.3081
Se 1.3295 -2.0669 6.3081
Se 6.2167 2.0669 1.8114
Se 6.2167 -2.0669 1.8114
Se 7.1757 0.0000 5.5297
```

total magnetization	0.00	μB per atom
uncorrected energy	-4.529	eV/atom
space group	No. 12
energy above the most stable polymorph in this dataset	0.00	kJ per mole of atoms